Record 1
Below is a PBEsol-optimized structure of Ca8Mn3N8, with properties calculated at the meta-GGA SCAN level.

Properties
Formation energy without anion corrections: -1030 meV per atom
Uncorrected energy: -11.89 eV/atom

Cell lengths 17.5352, 4.9322, 7.0503 Å; angles 90.00, 105.91, 90.00 degrees
Last column: nearest neighbours and their distance in Å.
Space group C2/m (No. 12)
Symmetry-distinct sites (fractional):
Ca 0.0274 0.0000 0.2609 (multiplicity 4)  5 N 2.47-2.57
Ca 0.0979 0.5000 0.9576 (multiplicity 4)  4 N 2.37-2.53
Ca 0.1669 0.5000 0.4721 (multiplicity 4)  5 N 2.44-2.64
Ca 0.1983 0.0000 0.8026 (multiplicity 4)  5 N 2.48-2.60
Mn 0.0000 0.5000 0.5000 (multiplicity 2)  2 N 1.71
Mn 0.1868 0.0000 0.2040 (multiplicity 4)  3 N 1.71-1.75
N 0.0266 0.5000 0.2835 (multiplicity 4)  1 Mn 1.71
N 0.1020 0.0000 0.0027 (multiplicity 4)  1 Mn 1.75
N 0.1768 0.0000 0.4380 (multiplicity 4)  1 Mn 1.71
N 0.2192 0.5000 0.8300 (multiplicity 4)  1 Mn 1.73



Record 2
Below is a PBEsol-optimized structure of Ca4MnN4, with properties calculated at the meta-GGA SCAN level.

Properties
Formation energy without anion corrections: -1020 meV per atom
Uncorrected energy: -11.47 eV/atom
Polymorph energy (0 for the lowest one): 0.00 eV per formula unit

Cell lengths 10.8842, 4.8727, 10.7707 Å; angles 90.00, 90.00, 90.00 degrees
Last column: nearest neighbours and their distance in Å.
Space group Pnma (No. 62)
Symmetry-distinct sites (fractional):
Ca 0.0586 0.2500 0.1133 (multiplicity 4)  5 N 2.36-2.49
Ca 0.0951 0.7500 0.3178 (multiplicity 4)  4 N 2.45-2.49
Ca 0.1318 0.7500 0.6599 (multiplicity 4)  4 N 2.26-2.52
Ca 0.2329 0.2500 0.4770 (multiplicity 4)  4 N 2.32-2.50
Mn 0.1301 0.2500 0.8516 (multiplicity 4)  3 N 1.67-1.76
N 0.0172 0.7500 0.1048 (multiplicity 4)  1 Mn 1.67
N 0.0761 0.2500 0.3317 (multiplicity 4)  5 Ca 2.26-2.45
N 0.1734 0.2500 0.7014 (multiplicity 4)  1 Mn 1.68
N 0.2364 0.2500 0.9743 (multiplicity 4)  1 Mn 1.76



Record 3
Below is a PBEsol-optimized structure of Ca6MnN5, with properties calculated at the meta-GGA SCAN level.

Properties
Formation energy without anion corrections: -1069 meV per atom
Uncorrected energy: -11.29 eV/atom

Cell lengths 6.1545, 6.1545, 12.1937 Å; angles 90.00, 90.00, 120.00 degrees
Last column: nearest neighbours and their distance in Å.
Space group P6_3/mcm (No. 193)
Symmetry-distinct sites (fractional):
Ca 0.0000 0.3936 0.1186 (multiplicity 12)  3 N 2.38-2.54
Mn 0.0000 0.0000 0.2500 (multiplicity 2)  3 N 1.76
N 0.0000 0.2863 0.7500 (multiplicity 6)  1 Mn 1.76
N 0.3333 0.6667 0.0000 (multiplicity 4)  6 Ca 2.38



Record 4
Below is a PBEsol-optimized structure of Ca7MnN6, with properties calculated at the meta-GGA SCAN level.

Properties
Formation energy without anion corrections: -1002 meV per atom
Uncorrected energy: -11.12 eV/atom

Cell lengths 10.7698, 6.1719, 12.8061 Å; angles 90.00, 90.00, 90.00 degrees
Last column: nearest neighbours and their distance in Å.
Space group Pbcn (No. 60)
Symmetry-distinct sites (fractional):
Ca 0.0000 0.0611 0.2500 (multiplicity 4)  4 N 2.46-2.51
Ca 0.0371 0.2319 0.5234 (multiplicity 8)  4 N 2.38-2.57
Ca 0.2048 0.3906 0.1220 (multiplicity 8)  4 N 2.33-2.57
Ca 0.2300 0.3530 0.8745 (multiplicity 8)  4 N 2.36-2.50
Mn 0.0000 0.4333 0.7500 (multiplicity 4)  4 N 1.81
N 0.0506 0.3928 0.3551 (multiplicity 8)  1 Mn 1.81
N 0.1266 0.2598 0.7094 (multiplicity 8)  1 Mn 1.81
N 0.1670 0.0915 0.9979 (multiplicity 8)  6 Ca 2.36-2.47



Record 5
Below is a PBEsol-optimized structure of Ca3Mn3N5, with properties calculated at the meta-GGA SCAN level.

Properties
Formation energy without anion corrections: -883 meV per atom
Uncorrected energy: -12.72 eV/atom

Cell lengths 5.4533, 6.6762, 8.2172 Å; angles 108.00, 103.86, 94.96 degrees
Last column: nearest neighbours and their distance in Å.
Space group P-1 (No. 2)
Symmetry-distinct sites (fractional):
Ca 0.1547 0.1676 0.2008 (multiplicity 2)  4 N 2.32-2.48
Ca 0.1597 0.3701 0.8804 (multiplicity 2)  5 N 2.38-2.61
Ca 0.3221 0.9195 0.6184 (multiplicity 2)  4 N 2.39-2.50
Mn 0.1896 0.4481 0.5665 (multiplicity 2)  4 N 1.82-1.86
Mn 0.3969 0.6151 0.3020 (multiplicity 2)  4 N 1.78-1.90
Mn 0.4072 0.8219 0.9729 (multiplicity 2)  4 N 1.76-1.88
N 0.1243 0.5640 0.3844 (multiplicity 2)  3 Mn 1.82-1.86
N 0.2510 0.0396 0.9127 (multiplicity 2)  2 Mn 1.88
N 0.3131 0.7231 0.1276 (multiplicity 2)  2 Mn 1.76-1.78
N 0.3347 0.2108 0.5075 (multiplicity 2)  2 Mn 1.82-1.85
N 0.4344 0.6185 0.7753 (multiplicity 2)  3 Mn 1.81-1.90



Record 6
Below is a PBEsol-optimized structure of Ca2MnN3, with properties calculated at the meta-GGA SCAN level.

Properties
Formation energy without anion corrections: -1039 meV per atom
Uncorrected energy: -11.95 eV/atom

Cell lengths 5.3558, 10.3378, 11.4843 Å; angles 90.00, 90.00, 90.00 degrees
Last column: nearest neighbours and their distance in Å.
Space group Cmce (No. 64)
Symmetry-distinct sites (fractional):
Ca 0.0000 0.0515 0.1444 (multiplicity 8)  3 N 2.36-2.56
Ca 0.0000 0.1403 0.5775 (multiplicity 8)  5 N 2.36-2.51
Mn 0.0000 0.2456 0.3395 (multiplicity 8)  4 N 1.73-1.74
N 0.0000 0.0793 0.3656 (multiplicity 8)  1 Mn 1.74
N 0.0000 0.1563 0.9620 (multiplicity 8)  1 Mn 1.73
N 0.2500 0.2139 0.7500 (multiplicity 8)  2 Mn 1.74



Record 7
Below is a PBEsol-optimized structure of Ca4MnN4, with properties calculated at the meta-GGA SCAN level.

Properties
Formation energy without anion corrections: -999 meV per atom
Uncorrected energy: -11.45 eV/atom
Polymorph energy (0 for the lowest one): 0.19 eV per formula unit

Cell lengths 5.8355, 5.9978, 8.4106 Å; angles 72.34, 80.55, 68.98 degrees
Last column: nearest neighbours and their distance in Å.
Space group P-1 (No. 2)
Symmetry-distinct sites (fractional):
Ca 0.2086 0.4359 0.3408 (multiplicity 2)  5 N 2.40-2.61
Ca 0.2247 0.9581 0.1228 (multiplicity 2)  4 N 2.40-2.60
Ca 0.2708 0.5074 0.9322 (multiplicity 2)  5 N 2.35-2.58
Ca 0.2754 0.7934 0.5329 (multiplicity 2)  4 N 2.35-2.47
Mn 0.2745 0.1534 0.7446 (multiplicity 2)  4 N 1.82-1.84
N 0.0321 0.2886 0.8905 (multiplicity 2)  1 Mn 1.84
N 0.0720 0.1783 0.5910 (multiplicity 2)  1 Mn 1.83
N 0.4589 0.3582 0.6918 (multiplicity 2)  1 Mn 1.82
N 0.4694 0.8401 0.8362 (multiplicity 2)  1 Mn 1.82



Record 8
Below is a PBEsol-optimized structure of Ca9Mn2N8, with properties calculated at the meta-GGA SCAN level.

Properties
Formation energy without anion corrections: -984 meV per atom
Uncorrected energy: -11.40 eV/atom

Cell lengths 18.1359, 4.8761, 7.6955 Å; angles 90.00, 110.95, 90.00 degrees
Last column: nearest neighbours and their distance in Å.
Space group C2/m (No. 12)
Symmetry-distinct sites (fractional):
Ca 0.0000 0.0000 0.0000 (multiplicity 2)  2 N 2.28
Ca 0.0364 0.5000 0.7326 (multiplicity 4)  5 N 2.44-2.62
Ca 0.0896 0.0000 0.4839 (multiplicity 4)  4 N 2.33-2.52
Ca 0.1726 0.0000 0.9443 (multiplicity 4)  5 N 2.40-2.63
Ca 0.1928 0.5000 0.3105 (multiplicity 4)  3 N 2.44-2.46
Mn 0.1946 0.5000 0.7004 (multiplicity 4)  3 N 1.70-1.74
N 0.0363 0.0000 0.7453 (multiplicity 4)  6 Ca 2.28-2.52
N 0.1103 0.5000 0.5010 (multiplicity 4)  1 Mn 1.74
N 0.1816 0.5000 0.9081 (multiplicity 4)  1 Mn 1.70
N 0.2117 0.0000 0.3073 (multiplicity 4)  1 Mn 1.72



Q: Which value of formation energy without anion corrections does entry 5 give?
A: -883 meV per atom



Q: Which value of uncorrected energy does entry 5 give?
A: -12.72 eV/atom



Q: formation energy without anion corrections of number 3 (Ca6MnN5)?
A: -1069 meV per atom